Record 1
Ca8TlAu2 | GGA-PBE | relaxed

Computed properties:
For the density, the calculation gives 4.23 g cm⁻³. As for the volume: 32.8 Å³/atom. Its crystal system is monoclinic. As for the space group: No. 8. The density of states at the Fermi level is 7.49 states/eV per cell. The calculation puts the formation energy at -0.405 eV/atom.

abc: 8.337 8.337 5.780
angles: 98.20 98.20 111.70
Fractional positions:
1 Ca 0.000 0.000 0.000
2 Ca 0.049 0.309 0.606
3 Ca 0.135 0.616 0.192
4 Ca 0.309 0.049 0.606
5 Ca 0.441 0.701 0.778
6 Ca 0.616 0.135 0.192
7 Ca 0.701 0.441 0.778
8 Ca 0.749 0.749 0.383
9 Tl 0.374 0.374 0.194
10 Au 0.059 0.691 0.692
11 Au 0.691 0.059 0.692

---

Record 2
Ca2Tl2Au | GGA-PBE | relaxed

Computed properties:
For the density, the calculation gives 7.33 g cm⁻³. As for the volume: 31.1 Å³/atom. Its crystal system is tetragonal. As for the space group: No. 139. The density of states at the Fermi level is 4.21 states/eV per cell. The calculation puts the formation energy at -0.208 eV/atom.

abc: 9.418 9.418 9.418
angles: 154.44 154.44 36.46
Fractional positions:
1 Ca 0.093 0.093 0.000
2 Ca 0.907 0.907 0.000
3 Tl 0.250 0.750 0.500
4 Tl 0.750 0.250 0.500
5 Au 0.500 0.500 0.000

---

Record 3
Ca3TlAu | GGA-PBE | relaxed

Computed properties:
For the density, the calculation gives 4.72 g cm⁻³. As for the volume: 36.7 Å³/atom. Its crystal system is cubic. As for the space group: No. 221. The density of states at the Fermi level is 4.32 states/eV per cell. The calculation puts the formation energy at -0.332 eV/atom.

abc: 5.681 5.681 5.681
angles: 90.00 90.00 90.00
Fractional positions:
1 Ca 0.000 0.000 0.500
2 Ca 0.000 0.500 0.000
3 Ca 0.500 0.000 0.000
4 Tl 0.500 0.500 0.500
5 Au 0.000 0.000 0.000